(1)
VASP calculation (SCAN) on a crystal of YCo2Cl relaxed with PBEsol.

a b c (Å): 3.7321 3.7321 6.2786
angles (deg): 90.00 90.00 120.00
Last column: nearest neighbours and their distance in Å.
Sites, in units of the cell vectors:
Y  0.3333  0.6667  0.5467  3 Co 2.70, 3 Cl 2.81
Co  0.6667  0.3333  0.8879  3 Co 2.21, 1 Cl 2.33
Co  0.0000  0.0000  0.8063  3 Co 2.21
Cl  0.6667  0.3333  0.2591  1 Co 2.33

Computed properties:
As for the density of states at the Fermi level: 0.31 states/eV/atom. For the distance to the lowest polymorph of the same formula, the calculation gives 0 meV/atom. As for the uncorrected formation energy: -492 meV per atom. The volume comes out at 18.93 A^3/atom. The crystal system is trigonal. The space group is P3m1. Its total magnetization is 2.93 μB/f.u.



(2)
VASP calculation (SCAN) on a crystal of CoRhSe2 relaxed with PBEsol.

a b c (Å): 4.4090 4.4090 4.4090
angles (deg): 60.00 60.00 60.00
Last column: nearest neighbours and their distance in Å.
Sites, in units of the cell vectors:
Co  0.5000  0.5000  0.5000  4 Se 2.70, 4 Rh 2.70
Rh  0.2500  0.2500  0.2500  4 Se 2.70, 4 Co 2.70
Se  0.0000  0.0000  0.0000  4 Se 2.70, 4 Rh 2.70
Se  0.7500  0.7500  0.7500  4 Co 2.70, 4 Se 2.70

Computed properties:
As for the density of states at the Fermi level: 1.05 states/eV/atom. As for the uncorrected formation energy: 654 meV per atom. The volume comes out at 15.15 A^3/atom. The crystal system is cubic. The space group is F-43m. Its total magnetization is 2.00 μB/f.u.



(3)
VASP calculation (SCAN) on a crystal of CeAl4Co relaxed with PBEsol.

a b c (Å): 4.0060 6.7361 7.5372
angles (deg): 90.00 90.00 90.00
Last column: nearest neighbours and their distance in Å.
Sites, in units of the cell vectors:
Co  0.0000  0.1963  0.7500  6 Al 2.30-2.53
Co  0.0000  0.8037  0.2500  6 Al 2.30-2.53
Al  0.5000  0.3033  0.5685  2 Co 2.53, 2 Al 2.72-2.74
Al  0.5000  0.6967  0.4315  2 Co 2.53, 2 Al 2.72-2.74
Al  0.5000  0.3033  0.9315  2 Co 2.53, 2 Al 2.72-2.74
Al  0.5000  0.6967  0.0685  2 Co 2.53, 2 Al 2.72-2.74
Al  0.0000  0.0000  0.0000  2 Co 2.30
Al  0.0000  0.0000  0.5000  2 Co 2.30
Al  0.5000  0.0451  0.2500  2 Co 2.58, 6 Al 2.72-2.77
Al  0.5000  0.9549  0.7500  2 Co 2.58, 6 Al 2.72-2.77
Ce  0.0000  0.6150  0.7500  1 Co 2.82, 2 Al 3.04
Ce  0.0000  0.3850  0.2500  1 Co 2.82, 2 Al 3.04

Computed properties:
As for the density of states at the Fermi level: 0.55 states/eV/atom. The volume comes out at 16.95 A^3/atom. The crystal system is orthorhombic. The space group is Pmma. Its total magnetization is 1.12 μB/f.u. For the calculated formation energy, the calculation gives -0.503 eV/atom.